[1]
# TiICl

Crystalline TiICl at its relaxed geometry (GGA-PBE, Alexandria).

The structure in POSCAR format:
```
TiICl
1.0
6.1355 0.0000 0.0000
0.0000 3.5308 0.0000
-1.8594 0.0000 7.7610
Ti I Cl
2 2 2
direct
0.1998 0.2500 0.0036 Ti
0.8002 0.7500 0.9964 Ti
0.1701 0.7500 0.2677 I
0.8299 0.2500 0.7323 I
0.3640 0.7500 0.8378 Cl
0.6360 0.2500 0.1622 Cl
```

Computed properties:
Its formation energy from raw total energies is -1075 meV/atom. As for the space group: P2_1/m, No. 11. The crystal system is monoclinic. The electronic total energy is -14.52 eV per formula unit. For the density, the calculation gives 4.15 g/cm3. As for the density of states at the Fermi level: 0.0794 states/eV per atom.

[2]
# CaAc4La2

Crystalline CaAc4La2 at its relaxed geometry (GGA-PBE, Alexandria).

The structure in POSCAR format:
```
CaAc4La2
1.0
1.9696 1.1372 22.1813
-1.9696 1.1372 22.1813
0.0000 -2.2744 22.1813
Ca Ac La
1 4 2
direct
0.0000 0.0000 0.0000 Ca
0.0974 0.0974 0.0974 Ac
0.3829 0.3829 0.3829 Ac
0.6171 0.6171 0.6171 Ac
0.9026 0.9026 0.9026 Ac
0.1889 0.1889 0.1889 La
0.8111 0.8111 0.8111 La
```

Computed properties:
As for the space group: R-3m, No. 166. The crystal system is trigonal. The electronic total energy is -28.16 eV per formula unit. For the density, the calculation gives 6.83 g/cm3. The calculation puts the energy of formation from the pure elements at 0.018 eV per atom. As for the density of states at the Fermi level: 1.6404 states/eV per atom.

[3]
# Pm2HoTaN4

Crystalline Pm2HoTaN4 at its relaxed geometry (GGA-PBE, Alexandria).

The structure in POSCAR format:
```
Pm2HoTaN4
1.0
5.8831 0.0000 0.0000
0.0000 3.3857 0.0000
-1.9256 0.0000 5.6652
Pm Ho Ta N
2 1 1 4
direct
0.0000 0.0000 0.0000 Pm
0.5000 0.5000 0.0000 Pm
0.0000 0.5000 0.5000 Ho
0.5000 0.0000 0.5000 Ta
0.2640 0.0000 0.7182 N
0.2787 0.5000 0.2869 N
0.7213 0.5000 0.7131 N
0.7360 0.0000 0.2818 N
```

Computed properties:
Its formation energy from raw total energies is -1422 meV/atom. As for the space group: P2/m, No. 10. The crystal system is monoclinic. The electronic total energy is -70.61 eV per formula unit. For the density, the calculation gives 10.18 g/cm3. As for the density of states at the Fermi level: 0.2179 states/eV per atom.

[4]
# RbBa2YB

Crystalline RbBa2YB at its relaxed geometry (GGA-PBE, Alexandria).

The structure in POSCAR format:
```
RbBa2YB
1.0
6.6741 0.0000 0.0000
0.0000 6.6741 0.0000
0.0000 0.0000 4.8320
Rb Ba Y B
1 2 1 1
direct
0.0000 0.0000 0.0000 Rb
0.0000 0.5000 0.0000 Ba
0.5000 0.0000 0.0000 Ba
0.5000 0.5000 0.5000 Y
0.0000 0.0000 0.5000 B
```

Computed properties:
As for the space group: P4/mmm, No. 123. The crystal system is tetragonal. The electronic total energy is -10.83 eV per formula unit. For the density, the calculation gives 3.55 g/cm3. The calculation puts the energy of formation from the pure elements at 1.425 eV per atom. As for the density of states at the Fermi level: 1.4820 states/eV per atom.

[5]
# Ac2Zn2Ag15

Crystalline Ac2Zn2Ag15 at its relaxed geometry (GGA-PBE, Alexandria).

The structure in POSCAR format:
```
Ac2Zn2Ag15
1.0
4.8700 2.8117 4.7826
-4.8700 2.8117 4.7826
0.0000 -5.6234 4.7826
Ac Zn Ag
2 2 15
direct
0.1565 0.1565 0.1565 Ac
0.8435 0.8435 0.8435 Ac
0.4028 0.4028 0.4028 Zn
0.5972 0.5972 0.5972 Zn
0.0000 0.5000 0.5000 Ag
0.1522 0.1522 0.6540 Ag
0.1522 0.6540 0.1522 Ag
0.2017 0.5000 0.7983 Ag
0.2017 0.7983 0.5000 Ag
0.3460 0.8478 0.8478 Ag
0.5000 0.0000 0.5000 Ag
0.5000 0.2017 0.7983 Ag
0.5000 0.5000 0.0000 Ag
0.5000 0.7983 0.2017 Ag
0.6540 0.1522 0.1522 Ag
0.7983 0.2017 0.5000 Ag
0.7983 0.5000 0.2017 Ag
0.8478 0.3460 0.8478 Ag
0.8478 0.8478 0.3460 Ag
```

Computed properties:
As for the space group: R-3m, No. 166. The crystal system is trigonal. The electronic total energy is -55.33 eV per formula unit. For the density, the calculation gives 9.31 g/cm3. The calculation puts the energy of formation from the pure elements at -0.095 eV per atom. As for the density of states at the Fermi level: 0.4392 states/eV per atom.

[6]
# LiPmHoBe

Crystalline LiPmHoBe at its relaxed geometry (GGA-PBE, Alexandria).

The structure in POSCAR format:
```
LiPmHoBe
1.0
0.0000 3.5624 3.5624
3.5624 0.0000 3.5624
3.5624 3.5624 0.0000
Li Pm Ho Be
1 1 1 1
direct
0.0000 0.0000 0.0000 Li
0.2500 0.2500 0.2500 Pm
0.7500 0.7500 0.7500 Ho
0.5000 0.5000 0.5000 Be
```

Computed properties:
As for the space group: F-43m, No. 216. The crystal system is cubic. The electronic total energy is -14.37 eV per formula unit. For the density, the calculation gives 5.98 g/cm3. The calculation puts the energy of formation from the pure elements at 0.149 eV per atom. As for the density of states at the Fermi level: 1.2674 states/eV per atom.